# 1
# KRb4Ce3Se8 | Alexandria via LeMat-Bulk | PBE | optimized geometry
# - magnetic moment (μB/f.u.) = 1.11
# - crystal system = trigonal
# - raw formation energy (eV per atom) = -1.541
data_KRb4Ce3Se8
_chemical_formula_sum 'K3 Rb12 Ce9 Se24'
_space_group_name_H-M_alt 'R -3 m'
_space_group_IT_number 166
_space_group_name_Hall '-R 3 2"'
_cell_length_a 8.9037
_cell_length_b 8.9037
_cell_length_c 23.7052
_cell_angle_alpha 90.00
_cell_angle_beta 90.00
_cell_angle_gamma 120.00
loop_
_atom_site_label
_atom_site_fract_x
_atom_site_fract_y
_atom_site_fract_z
_atom_site_occupancy
K1 0.0000 0.0000 0.0000 1
Rb1 0.0000 0.0000 0.5000 1
Rb2 0.0000 0.5000 0.5000 1
Ce1 0.0000 0.5000 0.0000 1
Se1 0.0000 0.0000 0.2676 1
Se2 0.0299 0.5149 0.2680 1

# 2
# BaCr3Br | Alexandria via LeMat-Bulk | PBE | optimized geometry
# - magnetic moment (μB/f.u.) = 13.20
# - crystal system = cubic
# - raw formation energy (eV per atom) = 1.063
data_BaCr3Br
_chemical_formula_sum 'Ba1 Cr3 Br1'
_space_group_name_H-M_alt 'P m -3 m'
_space_group_IT_number 221
_space_group_name_Hall '-P 4 2 3'
_cell_length_a 5.2880
_cell_length_b 5.2880
_cell_length_c 5.2880
_cell_angle_alpha 90.00
_cell_angle_beta 90.00
_cell_angle_gamma 90.00
loop_
_atom_site_label
_atom_site_fract_x
_atom_site_fract_y
_atom_site_fract_z
_atom_site_occupancy
Ba1 0.0000 0.0000 0.0000 1
Cr1 0.0000 0.5000 0.5000 1
Br1 0.5000 0.5000 0.5000 1

# 3
# KCr2Pb | Alexandria via LeMat-Bulk | PBE | optimized geometry
# - magnetic moment (μB/f.u.) = 0.51
# - ΔE_f (eV/atom) = 0.7246
# - crystal system = trigonal
data_KCr2Pb
_chemical_formula_sum 'K3 Cr6 Pb3'
_space_group_name_H-M_alt 'R 3 m'
_space_group_IT_number 160
_space_group_name_Hall 'R 3 -2"'
_cell_length_a 3.3248
_cell_length_b 3.3248
_cell_length_c 30.8412
_cell_angle_alpha 90.00
_cell_angle_beta 90.00
_cell_angle_gamma 120.00
loop_
_atom_site_label
_atom_site_fract_x
_atom_site_fract_y
_atom_site_fract_z
_atom_site_occupancy
K1 0.0000 0.0000 0.0000 1
Cr1 0.0000 0.0000 0.2313 1
Cr2 0.0000 0.0000 0.5131 1
Pb1 0.0000 0.0000 0.7683 1

# 4
# TiCoSb2 | Alexandria via LeMat-Bulk | PBE | optimized geometry
# - magnetic moment (μB/f.u.) = 0.62
# - crystal system = cubic
# - raw formation energy (eV per atom) = 0.103
data_TiCoSb2
_chemical_formula_sum 'Ti4 Co4 Sb8'
_space_group_name_H-M_alt 'F m -3 m'
_space_group_IT_number 225
_space_group_name_Hall '-F 4 2 3'
_cell_length_a 6.6380
_cell_length_b 6.6380
_cell_length_c 6.6380
_cell_angle_alpha 90.00
_cell_angle_beta 90.00
_cell_angle_gamma 90.00
loop_
_atom_site_label
_atom_site_fract_x
_atom_site_fract_y
_atom_site_fract_z
_atom_site_occupancy
Ti1 0.0000 0.0000 0.0000 1
Co1 0.0000 0.0000 0.5000 1
Sb1 0.2500 0.2500 0.2500 1

# 5
# CeYTh | Alexandria via LeMat-Bulk | PBE | optimized geometry
# - distance to the lowest polymorph of the same formula (eV per formula unit) = 0.00
# - magnetic moment (μB/f.u.) = 0.04
# - ΔE_f (eV/atom) = 0.0607
# - crystal system = tetragonal
data_CeYTh
_chemical_formula_sum 'Ce2 Y2 Th2'
_space_group_name_H-M_alt 'I 4 m m'
_space_group_IT_number 107
_space_group_name_Hall 'I 4 -2'
_cell_length_a 3.5438
_cell_length_b 3.5438
_cell_length_c 14.8793
_cell_angle_alpha 90.00
_cell_angle_beta 90.00
_cell_angle_gamma 90.00
loop_
_atom_site_label
_atom_site_fract_x
_atom_site_fract_y
_atom_site_fract_z
_atom_site_occupancy
Ce1 0.0000 0.0000 0.0000 1
Y1 0.0000 0.0000 0.6742 1
Th1 0.0000 0.0000 0.3425 1

# 6
# SrMg14Fe | Alexandria via LeMat-Bulk | PBE | optimized geometry
# - distance to the lowest polymorph of the same formula (eV per formula unit) = 0.08
# - magnetic moment (μB/f.u.) = 2.66
# - ΔE_f (eV/atom) = 0.1193
# - crystal system = hexagonal
data_SrMg14Fe
_chemical_formula_sum 'Sr1 Mg14 Fe1'
_space_group_name_H-M_alt 'P -6 m 2'
_space_group_IT_number 187
_space_group_name_Hall 'P -6 2'
_cell_length_a 6.4759
_cell_length_b 6.4759
_cell_length_c 10.3679
_cell_angle_alpha 90.00
_cell_angle_beta 90.00
_cell_angle_gamma 120.00
loop_
_atom_site_label
_atom_site_fract_x
_atom_site_fract_y
_atom_site_fract_z
_atom_site_occupancy
Sr1 0.0000 0.0000 0.0000 1
Mg1 0.0146 0.5073 0.0000 1
Mg2 0.1635 0.3270 0.2733 1
Mg3 0.5053 0.0106 0.5000 1
Mg4 0.6667 0.3333 0.2375 1
Fe1 0.0000 0.0000 0.5000 1